Crystalline AlCrSi2 at its relaxed geometry, computed with PBE.

abc: 7.970 7.970 7.970
angles: 20.87 20.87 20.87
Last column: magnetic moment on the atom in μB.
Positions (direct):
Al 0.498 0.498 0.498  -0.01
Si 0.255 0.255 0.255  0.03
Si 0.002 0.002 0.002  -0.01
Cr 0.746 0.746 0.746  1.48

Summary:
Formation energy without anion corrections: 0.17 eV per atom
Calculated volume: 56 Å³/f.u.
Symmetry: R3m
Magnetization: 1.62 μB/cell

=====

Crystalline Al2CrSi at its relaxed geometry, computed with PBE.

abc: 8.455 8.455 8.455
angles: 19.32 19.32 19.32
Last column: magnetic moment on the atom in μB.
Positions (direct):
Al 0.244 0.244 0.244  -0.01
Al 0.003 0.003 0.003  0.01
Si 0.757 0.757 0.757  -0.01
Cr 0.496 0.496 0.496  1.44

Summary:
Formation energy without anion corrections: 0.05 eV per atom
Calculated volume: 58 Å³/f.u.
Symmetry: R3m
Magnetization: 1.55 μB/cell

=====

Crystalline AlCrSi2 at its relaxed geometry, computed with PBE.

abc: 4.562 4.562 4.562
angles: 131.03 131.03 71.77
Last column: magnetic moment on the atom in μB.
Positions (direct):
Al 0.250 0.750 0.500  -0.01
Si 0.500 0.500 0.000  -0.03
Si 0.000 0.000 0.000  -0.03
Cr 0.750 0.250 0.500  1.45

Summary:
Formation energy without anion corrections: 0.07 eV per atom
Calculated volume: 53 Å³/f.u.
Symmetry: I4/mmm
Magnetization: 1.47 μB/cell

=====

Crystalline AlCrSi at its relaxed geometry, computed with PBE.

abc: 5.996 5.985 2.672
angles: 77.34 76.88 25.77
Last column: magnetic moment on the atom in μB.
Positions (direct):
Al 0.990 0.990 0.010  -0.01
Cr 0.328 0.328 0.672  0.69
Si 0.682 0.682 0.318  -0.02

Summary:
Formation energy without anion corrections: 0.09 eV per atom
Calculated volume: 41 Å³/f.u.
Symmetry: Fmm2
Magnetization: 0.65 μB/cell

=====

Crystalline AlCrSi2 at its relaxed geometry, computed with PBE.

abc: 4.094 2.975 4.812
angles: 72.02 90.00 90.00
Last column: magnetic moment on the atom in μB.
Positions (direct):
Si 0.500 0.214 0.196  -0.01
Si 0.000 0.807 0.010  -0.01
Al 0.000 0.540 0.545  -0.01
Cr 0.500 0.938 0.749  0.84

Summary:
Formation energy without anion corrections: 0.06 eV per atom
Calculated volume: 56 Å³/f.u.
Symmetry: Amm2
Magnetization: 0.83 μB/cell

=====

Crystalline Al2CrSi at its relaxed geometry, computed with PBE.

abc: 4.125 2.778 5.075
angles: 74.30 90.00 90.00
Positions (direct):
Al 0.500 0.295 0.283
Al 0.000 0.955 0.968
Cr 0.000 0.689 0.498
Si 0.500 0.561 0.752

Summary:
Formation energy without anion corrections: -0.02 eV per atom
Calculated volume: 56 Å³/f.u.
Symmetry: Pm
Magnetization: 0.00 μB/cell

=====

Crystalline AlCrSi2 at its relaxed geometry, computed with PBE.

abc: 4.396 4.396 4.586
angles: 82.25 82.25 38.20
Last column: magnetic moment on the atom in μB.
Positions (direct):
Si 0.988 0.988 0.035  -0.01
Si 0.512 0.512 0.465  -0.01
Cr 0.250 0.250 0.250  1.16
Al 0.750 0.750 0.750  -0.01

Summary:
Formation energy without anion corrections: 0.03 eV per atom
Calculated volume: 54 Å³/f.u.
Symmetry: C2/m
Magnetization: 1.19 μB/cell

=====

Crystalline AlCrSi at its relaxed geometry, computed with PBE.

abc: 4.125 4.125 4.125
angles: 60.00 60.00 60.00
Last column: magnetic moment on the atom in μB.
Positions (direct):
Si 0.000 0.000 0.000  -0.07
Al 0.500 0.500 0.500  -0.01
Cr 0.750 0.750 0.750  2.86

Summary:
Formation energy without anion corrections: 0.17 eV per atom
Calculated volume: 50 Å³/f.u.
Symmetry: F-43m
Magnetization: 3.09 μB/cell

=====

Crystalline Al2CrSi at its relaxed geometry, computed with PBE.

abc: 7.417 7.417 5.829
angles: 50.49 50.49 90.00
Last column: magnetic moment on the atom in μB.
Positions (direct):
Si 0.250 0.750 0.500  -0.04
Si 0.500 0.500 0.000  -0.04
Al 0.585 0.125 0.250  -0.01
Al 0.165 0.625 0.250  -0.01
Al 0.375 0.415 0.750  -0.01
Al 0.875 0.835 0.750  -0.01
Cr 0.000 0.000 0.000  3.31
Cr 0.750 0.250 0.500  3.31

Summary:
Formation energy without anion corrections: 0.38 eV per atom
Calculated volume: 70 Å³/f.u.
Symmetry: I-42d
Magnetization: 7.16 μB/cell

=====

Crystalline AlCr2Si at its relaxed geometry, computed with PBE.

abc: 4.601 4.601 4.601
angles: 132.87 132.87 68.86
Last column: magnetic moment on the atom in μB.
Positions (direct):
Cr 0.000 0.000 0.000  1.75
Cr 0.250 0.750 0.500  -1.60
Al 0.750 0.250 0.500  0.01
Si 0.500 0.500 0.000  0.01

Summary:
Formation energy without anion corrections: -0.12 eV per atom
Calculated volume: 51 Å³/f.u.
Symmetry: I-4m2
Magnetization: 0.23 μB/cell

=====

Crystalline Al2CrSi at its relaxed geometry, computed with PBE.

abc: 2.719 2.719 7.726
angles: 90.00 90.00 90.00
Last column: magnetic moment on the atom in μB.
Positions (direct):
Si 0.500 0.500 0.721  -0.02
Al 0.000 0.000 0.992  -0.01
Al 0.500 0.500 0.275  -0.02
Cr 0.000 0.000 0.512  1.19

Summary:
Formation energy without anion corrections: 0.03 eV per atom
Calculated volume: 57 Å³/f.u.
Symmetry: P4mm
Magnetization: 1.15 μB/cell

=====

Crystalline AlCr2Si at its relaxed geometry, computed with PBE.

abc: 4.092 4.092 4.092
angles: 60.00 60.00 60.00
Positions (direct):
Al 0.500 0.500 0.500
Cr 0.000 0.000 0.000
Cr 0.250 0.250 0.250
Si 0.750 0.750 0.750

Summary:
Formation energy without anion corrections: -0.05 eV per atom
Calculated volume: 48 Å³/f.u.
Symmetry: F-43m
Magnetization: 0.00 μB/cell

=====

Question: Which of these has the highest formation energy without anion corrections?
Answer: number 9